1.
! Al3Cd2 (meta-GGA SCAN, single point on PBEsol structure); values from VASP
&SYSTEM
  ibrav = 0, nat = 10, ntyp = 2
/
ATOMIC_SPECIES
Cd 112.41 Cd.upf
Al 26.98 Al.upf
CELL_PARAMETERS angstrom
2.890 0.000 0.000
1.445 6.137 0.000
1.445 0.000 11.107
ATOMIC_POSITIONS crystal
Cd 0.509 0.132 0.396
Cd 0.391 0.368 0.896
Cd 0.037 0.868 0.604
Cd 0.654 0.632 0.104
Al 0.279 0.231 0.167
Al 0.677 0.769 0.833
Al 0.260 0.269 0.667
Al 0.999 0.000 0.000
Al 0.196 0.731 0.333
Al 0.749 0.500 0.500
! * crystal system: orthorhombic
! * energy of formation from the pure elements: 0.18 eV per atom
! * DOS at the Fermi energy: 0.341 states/eV/atom

2.
! Al5Cd (meta-GGA SCAN, single point on PBEsol structure); values from VASP
&SYSTEM
  ibrav = 0, nat = 6, ntyp = 2
/
ATOMIC_SPECIES
Al 26.98 Al.upf
Cd 112.41 Cd.upf
CELL_PARAMETERS angstrom
-0.968 3.976 2.301
-2.698 1.644 -3.976
-2.265 -2.677 3.673
ATOMIC_POSITIONS crystal
Al 0.500 0.667 0.333
Al 0.000 0.000 0.653
Al 0.500 0.333 0.667
Al 0.000 0.653 0.000
Al 0.000 0.347 0.347
Cd 0.500 0.000 0.000
! * crystal system: hexagonal
! * energy of formation from the pure elements: 0.12 eV per atom
! * DOS at the Fermi energy: 0.389 states/eV/atom
! * polymorph energy (0 for the lowest one): 0.058 eV per atom

3.
! Al2Cd (meta-GGA SCAN, single point on PBEsol structure); values from VASP
&SYSTEM
  ibrav = 0, nat = 3, ntyp = 2
/
ATOMIC_SPECIES
Cd 112.41 Cd.upf
Al 26.98 Al.upf
CELL_PARAMETERS angstrom
-2.822 0.280 0.826
-0.859 -1.377 -2.469
2.159 -4.927 3.764
ATOMIC_POSITIONS crystal
Cd 0.500 0.500 0.000
Al 0.172 0.172 0.344
Al 0.828 0.828 0.656
! * crystal system: tetragonal
! * energy of formation from the pure elements: 0.10 eV per atom
! * DOS at the Fermi energy: 0.393 states/eV/atom

4.
! AlCd (meta-GGA SCAN, single point on PBEsol structure); values from VASP
&SYSTEM
  ibrav = 0, nat = 2, ntyp = 2
/
ATOMIC_SPECIES
Al 26.98 Al.upf
Cd 112.41 Cd.upf
CELL_PARAMETERS angstrom
-2.033 -2.078 0.567
-0.064 -2.487 -1.607
2.407 -3.682 2.872
ATOMIC_POSITIONS crystal
Al 0.000 0.000 0.000
Cd 0.500 0.500 0.500
! * crystal system: trigonal
! * energy of formation from the pure elements: 0.11 eV per atom
! * DOS at the Fermi energy: 0.330 states/eV/atom

5.
! AlCd (meta-GGA SCAN, single point on PBEsol structure); values from VASP
&SYSTEM
  ibrav = 0, nat = 4, ntyp = 2
/
ATOMIC_SPECIES
Al 26.98 Al.upf
Cd 112.41 Cd.upf
CELL_PARAMETERS angstrom
4.368 0.000 0.000
-2.184 3.782 0.000
0.000 0.000 5.181
ATOMIC_POSITIONS crystal
Al 0.000 0.000 0.000
Al 0.000 0.000 0.500
Cd 0.333 0.667 0.250
Cd 0.667 0.333 0.750
! * crystal system: hexagonal
! * energy of formation from the pure elements: 0.18 eV per atom
! * DOS at the Fermi energy: 0.286 states/eV/atom

6.
! AlCd (meta-GGA SCAN, single point on PBEsol structure); values from VASP
&SYSTEM
  ibrav = 0, nat = 4, ntyp = 2
/
ATOMIC_SPECIES
Cd 112.41 Cd.upf
Al 26.98 Al.upf
CELL_PARAMETERS angstrom
3.004 0.000 0.000
1.502 2.602 0.000
1.502 0.867 9.568
ATOMIC_POSITIONS crystal
Cd 0.379 0.379 0.864
Cd 0.621 0.621 0.136
Al 0.129 0.129 0.614
Al 0.871 0.871 0.386
! * crystal system: trigonal
! * energy of formation from the pure elements: 0.07 eV per atom
! * DOS at the Fermi energy: 0.366 states/eV/atom

7.
! AlCd (meta-GGA SCAN, single point on PBEsol structure); values from VASP
&SYSTEM
  ibrav = 0, nat = 4, ntyp = 2
/
ATOMIC_SPECIES
Al 26.98 Al.upf
Cd 112.41 Cd.upf
CELL_PARAMETERS angstrom
-1.938 3.780 0.472
0.575 -2.544 3.385
4.820 2.353 0.950
ATOMIC_POSITIONS crystal
Al 0.333 0.667 0.250
Al 0.667 0.333 0.750
Cd 0.000 0.000 0.500
Cd 0.000 0.000 0.000
! * crystal system: hexagonal
! * energy of formation from the pure elements: 0.26 eV per atom
! * DOS at the Fermi energy: 0.386 states/eV/atom

8.
! Al2Cd (meta-GGA SCAN, single point on PBEsol structure); values from VASP
&SYSTEM
  ibrav = 0, nat = 3, ntyp = 2
/
ATOMIC_SPECIES
Al 26.98 Al.upf
Cd 112.41 Cd.upf
CELL_PARAMETERS angstrom
4.407 -0.035 -0.052
-2.052 3.900 0.052
-2.052 -1.399 3.640
ATOMIC_POSITIONS crystal
Al 0.500 0.250 0.750
Al 0.500 0.750 0.250
Cd 0.000 0.000 0.000
! * crystal system: tetragonal
! * energy of formation from the pure elements: 0.20 eV per atom
! * DOS at the Fermi energy: 0.296 states/eV/atom

9.
! Al5Cd (meta-GGA SCAN, single point on PBEsol structure); values from VASP
&SYSTEM
  ibrav = 0, nat = 6, ntyp = 2
/
ATOMIC_SPECIES
Al 26.98 Al.upf
Cd 112.41 Cd.upf
CELL_PARAMETERS angstrom
-0.822 -2.770 -0.210
2.285 -0.799 1.591
-6.679 1.211 10.197
ATOMIC_POSITIONS crystal
Al 0.500 0.500 0.342
Al 0.000 0.000 0.181
Al 0.000 0.000 0.500
Al 0.500 0.500 0.658
Al 0.000 0.000 0.819
Cd 0.500 0.500 0.000
! * crystal system: tetragonal
! * energy of formation from the pure elements: 0.06 eV per atom
! * DOS at the Fermi energy: 0.323 states/eV/atom
! * polymorph energy (0 for the lowest one): 0.000 eV per atom

10.
! Al2CdCl8 (meta-GGA SCAN, single point on PBEsol structure); values from VASP
&SYSTEM
  ibrav = 0, nat = 22, ntyp = 3
/
ATOMIC_SPECIES
Cd 112.41 Cd.upf
Cl 35.45 Cl.upf
Al 26.98 Al.upf
CELL_PARAMETERS angstrom
6.790 0.000 0.000
0.000 7.035 0.005
0.000 -0.518 12.913
ATOMIC_POSITIONS crystal
Cd 0.736 0.004 0.002
Cd 0.264 0.004 0.502
Cl 0.412 0.922 0.319
Cl 0.943 0.527 0.683
Cl 0.142 0.044 0.700
Cl 0.429 0.165 0.088
Cl 0.433 0.404 0.828
Cl 0.955 0.790 0.455
Cl 0.077 0.305 0.442
Cl 0.057 0.527 0.183
Cl 0.858 0.044 0.200
Cl 0.611 0.660 0.058
Cl 0.045 0.790 0.955
Cl 0.588 0.922 0.819
Cl 0.389 0.660 0.558
Cl 0.567 0.404 0.328
Cl 0.923 0.305 0.942
Cl 0.571 0.165 0.588
Al 0.565 0.148 0.241
Al 0.087 0.563 0.542
Al 0.913 0.563 0.042
Al 0.435 0.148 0.741
! * crystal system: monoclinic
! * DOS at the Fermi energy: 0.000 states/eV/atom
! * ΔE_f (raw): -1.58 eV/atom

11.
! Al2CdCl (meta-GGA SCAN, single point on PBEsol structure); values from VASP
&SYSTEM
  ibrav = 0, nat = 4, ntyp = 3
/
ATOMIC_SPECIES
Al 26.98 Al.upf
Cd 112.41 Cd.upf
Cl 35.45 Cl.upf
CELL_PARAMETERS angstrom
4.135 0.000 0.000
0.000 4.135 0.000
-2.067 -2.067 4.943
ATOMIC_POSITIONS crystal
Al 0.000 0.000 0.000
Al 0.750 0.250 0.500
Cd 0.500 0.500 0.000
Cl 0.250 0.750 0.500
! * crystal system: tetragonal
! * DOS at the Fermi energy: 0.443 states/eV/atom
! * polymorph energy (0 for the lowest one): 0.229 eV per atom
! * ΔE_f (raw): 0.19 eV/atom

12.
! AlCdCl (meta-GGA SCAN, single point on PBEsol structure); values from VASP
&SYSTEM
  ibrav = 0, nat = 3, ntyp = 3
/
ATOMIC_SPECIES
Al 26.98 Al.upf
Cl 35.45 Cl.upf
Cd 112.41 Cd.upf
CELL_PARAMETERS angstrom
-1.751 -1.625 -1.985
2.961 0.626 -0.695
2.167 -6.479 3.394
ATOMIC_POSITIONS crystal
Al 0.000 0.000 0.029
Cl 0.667 0.333 0.251
Cd 0.333 0.667 0.720
! * crystal system: trigonal
! * DOS at the Fermi energy: 0.061 states/eV/atom
! * ΔE_f (raw): -0.33 eV/atom

13.
! Al2CdCl (meta-GGA SCAN, single point on PBEsol structure); values from VASP
&SYSTEM
  ibrav = 0, nat = 4, ntyp = 3
/
ATOMIC_SPECIES
Cd 112.41 Cd.upf
Al 26.98 Al.upf
Cl 35.45 Cl.upf
CELL_PARAMETERS angstrom
-1.093 -2.778 -0.250
3.068 -1.512 3.368
-3.756 1.125 3.926
ATOMIC_POSITIONS crystal
Cd 0.500 0.500 0.000
Al 0.000 0.000 0.253
Al 0.000 0.000 0.747
Cl 0.500 0.500 0.500
! * crystal system: orthorhombic
! * DOS at the Fermi energy: 0.242 states/eV/atom
! * polymorph energy (0 for the lowest one): 0.102 eV per atom
! * ΔE_f (raw): 0.06 eV/atom

14.
! Al3CdCl (meta-GGA SCAN, single point on PBEsol structure); values from VASP
&SYSTEM
  ibrav = 0, nat = 5, ntyp = 3
/
ATOMIC_SPECIES
Al 26.98 Al.upf
Cd 112.41 Cd.upf
Cl 35.45 Cl.upf
CELL_PARAMETERS angstrom
5.084 0.000 0.000
0.000 5.084 0.000
0.000 0.000 5.084
ATOMIC_POSITIONS crystal
Al 0.500 0.000 0.000
Al 0.000 0.000 0.500
Al 0.000 0.500 0.000
Cd 0.000 0.000 0.000
Cl 0.500 0.500 0.500
! * crystal system: cubic
! * DOS at the Fermi energy: 0.542 states/eV/atom
! * ΔE_f (raw): 0.48 eV/atom

15.
! Al2CdCl (meta-GGA SCAN, single point on PBEsol structure); values from VASP
&SYSTEM
  ibrav = 0, nat = 4, ntyp = 3
/
ATOMIC_SPECIES
Al 26.98 Al.upf
Cd 112.41 Cd.upf
Cl 35.45 Cl.upf
CELL_PARAMETERS angstrom
2.992 0.000 0.000
0.000 5.009 0.000
0.000 0.000 5.204
ATOMIC_POSITIONS crystal
Al 0.000 0.000 0.000
Al 0.500 0.000 0.500
Cd 0.500 0.500 0.000
Cl 0.000 0.500 0.500
! * crystal system: orthorhombic
! * DOS at the Fermi energy: 0.335 states/eV/atom
! * polymorph energy (0 for the lowest one): 0.000 eV per atom
! * ΔE_f (raw): -0.04 eV/atom

16.
! Al2CdCl (meta-GGA SCAN, single point on PBEsol structure); values from VASP
&SYSTEM
  ibrav = 0, nat = 8, ntyp = 3
/
ATOMIC_SPECIES
Al 26.98 Al.upf
Cd 112.41 Cd.upf
Cl 35.45 Cl.upf
CELL_PARAMETERS angstrom
-1.969 -4.835 -2.427
-1.873 -1.813 5.133
-3.881 6.234 -2.443
ATOMIC_POSITIONS crystal
Al 0.125 0.127 0.750
Al 0.873 0.375 0.250
Al 0.377 0.875 0.250
Al 0.625 0.623 0.750
Cd 0.000 0.000 0.000
Cd 0.250 0.750 0.500
Cl 0.750 0.250 0.500
Cl 0.500 0.500 0.000
! * crystal system: tetragonal
! * DOS at the Fermi energy: 0.424 states/eV/atom
! * polymorph energy (0 for the lowest one): 0.256 eV per atom
! * ΔE_f (raw): 0.22 eV/atom

17.
! Al2CdCl (meta-GGA SCAN, single point on PBEsol structure); values from VASP
&SYSTEM
  ibrav = 0, nat = 4, ntyp = 3
/
ATOMIC_SPECIES
Al 26.98 Al.upf
Cl 35.45 Cl.upf
Cd 112.41 Cd.upf
CELL_PARAMETERS angstrom
-2.222 0.995 1.633
-2.762 -4.239 -1.176
1.963 -2.430 4.150
ATOMIC_POSITIONS crystal
Al 0.000 0.500 0.000
Al 0.000 0.000 0.500
Cl 0.500 0.000 0.000
Cd 0.500 0.500 0.500
! * crystal system: tetragonal
! * DOS at the Fermi energy: 0.305 states/eV/atom
! * polymorph energy (0 for the lowest one): 0.083 eV per atom
! * ΔE_f (raw): 0.04 eV/atom

18.
! AlCd2Cl (meta-GGA SCAN, single point on PBEsol structure); values from VASP
&SYSTEM
  ibrav = 0, nat = 4, ntyp = 3
/
ATOMIC_SPECIES
Al 26.98 Al.upf
Cd 112.41 Cd.upf
Cl 35.45 Cl.upf
CELL_PARAMETERS angstrom
-2.746 1.789 -0.084
-1.013 -2.161 -2.247
-3.009 -4.358 5.548
ATOMIC_POSITIONS crystal
Al 0.500 0.500 0.000
Cd 0.000 0.000 0.235
Cd 0.000 0.000 0.765
Cl 0.500 0.500 0.500
! * crystal system: orthorhombic
! * DOS at the Fermi energy: 0.332 states/eV/atom
! * polymorph energy (0 for the lowest one): 0.000 eV per atom
! * ΔE_f (raw): -0.19 eV/atom

19.
! AlCd2Cl (meta-GGA SCAN, single point on PBEsol structure); values from VASP
&SYSTEM
  ibrav = 0, nat = 4, ntyp = 3
/
ATOMIC_SPECIES
Cd 112.41 Cd.upf
Cl 35.45 Cl.upf
Al 26.98 Al.upf
CELL_PARAMETERS angstrom
5.029 0.000 0.000
2.515 4.356 0.000
2.515 1.452 4.106
ATOMIC_POSITIONS crystal
Cd 0.250 0.250 0.250
Cd 0.750 0.750 0.750
Cl 0.500 0.500 0.500
Al 0.000 0.000 0.000
! * crystal system: cubic
! * DOS at the Fermi energy: 0.215 states/eV/atom
! * polymorph energy (0 for the lowest one): 0.299 eV per atom
! * ΔE_f (raw): 0.11 eV/atom

20.
! AlCd2Cl (meta-GGA SCAN, single point on PBEsol structure); values from VASP
&SYSTEM
  ibrav = 0, nat = 4, ntyp = 3
/
ATOMIC_SPECIES
Cl 35.45 Cl.upf
Cd 112.41 Cd.upf
Al 26.98 Al.upf
CELL_PARAMETERS angstrom
2.973 0.000 0.000
0.000 4.569 0.000
-1.486 -2.284 6.409
ATOMIC_POSITIONS crystal
Cl 0.000 0.500 0.000
Cd 0.805 0.805 0.609
Cd 0.195 0.195 0.391
Al 0.500 0.000 0.000
! * crystal system: orthorhombic
! * DOS at the Fermi energy: 0.269 states/eV/atom
! * polymorph energy (0 for the lowest one): 0.053 eV per atom
! * ΔE_f (raw): -0.14 eV/atom